Entry from Alexandria: a relaxed SmScU2As4 crystal (PBE-GGA).

```
SmScU2As4
1.0
6.999 0.000 0.000
0.000 4.043 0.000
-2.332 0.000 6.747
Sm Sc U As
1 1 2 4
direct
0.000 0.000 0.000
0.500 0.500 0.000
0.000 0.500 0.500
0.500 0.000 0.500
0.260 0.500 0.251
0.261 0.000 0.756
0.739 0.000 0.244
0.740 0.500 0.749
```

Values from the calculation:
- V (Å³ per cell) = 191
- formation energy (meV per atom) = -1077
- total magnetic moment (μB/f.u.) = 4.911